[1]
# ErPaReTc, optimized geometry, DFT PBE-GGA
data_ErPaReTc
_chemical_formula_sum 'Er4 Pa4 Re4 Tc4'
_cell_length_a 6.838
_cell_length_b 6.838
_cell_length_c 6.838
_cell_angle_alpha 90.00
_cell_angle_beta 90.00
_cell_angle_gamma 90.00
_symmetry_space_group_name_H-M 'F -4 3 m'
_symmetry_Int_Tables_number 216
_symmetry_space_group_name_Hall 'F -4 2 3'
loop_
_atom_site_label
_atom_site_fract_x
_atom_site_fract_y
_atom_site_fract_z
Er1 0.000 0.000 0.000
Pa1 0.000 0.000 0.500
Re1 0.250 0.250 0.750
Tc1 0.250 0.250 0.250
# **Magnetization**: 0.000 μB per cell
# **Raw total energy**: -148.69 eV for the cell shown
# **Energy of formation from the pure elements**: -0.08 eV/atom



[2]
# VCrPd2W, optimized geometry, DFT PBE-GGA
data_VCrPd2W
_chemical_formula_sum 'V1 Cr1 Pd2 W1'
_cell_length_a 4.829
_cell_length_b 4.829
_cell_length_c 4.409
_cell_angle_alpha 90.00
_cell_angle_beta 90.00
_cell_angle_gamma 90.00
_symmetry_space_group_name_H-M 'P 4/m m m'
_symmetry_Int_Tables_number 123
_symmetry_space_group_name_Hall '-P 4 2'
loop_
_atom_site_label
_atom_site_fract_x
_atom_site_fract_y
_atom_site_fract_z
V1 0.000 0.000 0.000
Cr1 0.500 0.500 0.000
Pd1 0.000 0.500 0.500
W1 0.500 0.500 0.500
# **Magnetization**: 1.803 μB per cell
# **Raw total energy**: -34.18 eV for the cell shown
# **Energy of formation from the pure elements**: 1.58 eV/atom



What did the first record say?
# ErPaReTc, optimized geometry, DFT PBE-GGA
data_ErPaReTc
_chemical_formula_sum 'Er4 Pa4 Re4 Tc4'
_cell_length_a 6.838
_cell_length_b 6.838
_cell_length_c 6.838
_cell_angle_alpha 90.00
_cell_angle_beta 90.00
_cell_angle_gamma 90.00
_symmetry_space_group_name_H-M 'F -4 3 m'
_symmetry_Int_Tables_number 216
_symmetry_space_group_name_Hall 'F -4 2 3'
loop_
_atom_site_label
_atom_site_fract_x
_atom_site_fract_y
_atom_site_fract_z
Er1 0.000 0.000 0.000
Pa1 0.000 0.000 0.500
Re1 0.250 0.250 0.750
Tc1 0.250 0.250 0.250
# **Magnetization**: 0.000 μB per cell
# **Raw total energy**: -148.69 eV for the cell shown
# **Energy of formation from the pure elements**: -0.08 eV/atom



- What is the formula in the first record?
  ErPaReTc



Repeat the first record exactly.
# ErPaReTc, optimized geometry, DFT PBE-GGA
data_ErPaReTc
_chemical_formula_sum 'Er4 Pa4 Re4 Tc4'
_cell_length_a 6.838
_cell_length_b 6.838
_cell_length_c 6.838
_cell_angle_alpha 90.00
_cell_angle_beta 90.00
_cell_angle_gamma 90.00
_symmetry_space_group_name_H-M 'F -4 3 m'
_symmetry_Int_Tables_number 216
_symmetry_space_group_name_Hall 'F -4 2 3'
loop_
_atom_site_label
_atom_site_fract_x
_atom_site_fract_y
_atom_site_fract_z
Er1 0.000 0.000 0.000
Pa1 0.000 0.000 0.500
Re1 0.250 0.250 0.750
Tc1 0.250 0.250 0.250
# **Magnetization**: 0.000 μB per cell
# **Raw total energy**: -148.69 eV for the cell shown
# **Energy of formation from the pure elements**: -0.08 eV/atom